# Cu2Ag3 PBE-GGA relaxed
# * symmetry: No. 11
# * E above lowest polymorph: 48 meV per atom
# * formation enthalpy at 0 K: 80 meV/atom
data_Cu2Ag3
_chemical_formula_sum 'Cu4 Ag6'
_space_group_name_H-M_alt 'P 1'
_space_group_IT_number 1
_cell_length_a 6.8318
_cell_length_b 2.8457
_cell_length_c 8.2949
_cell_angle_alpha 90.00
_cell_angle_beta 104.73
_cell_angle_gamma 90.00
loop_
_space_group_symop_operation_xyz
'x,y,z'
loop_
_atom_site_label
_atom_site_fract_x
_atom_site_fract_y
_atom_site_fract_z
Ag1 0.8506 0.7500 0.0597
Ag2 0.5465 0.2500 0.1637
Ag3 0.2391 0.7500 0.2736
Ag4 0.7609 0.2500 0.7264
Ag5 0.4535 0.7500 0.8363
Ag6 0.1494 0.2500 0.9403
Cu1 0.9386 0.2500 0.3707
Cu2 0.6536 0.7500 0.4483
Cu3 0.3464 0.2500 0.5517
Cu4 0.0614 0.7500 0.6293

# BeGaNiB PBE-GGA relaxed
# * symmetry: No. 216
# * E above lowest polymorph: 43 meV per atom
data_BeGaNiB
_chemical_formula_sum 'Be1 Ga1 Ni1 B1'
_space_group_name_H-M_alt 'P 1'
_space_group_IT_number 1
_cell_length_a 3.8269
_cell_length_b 3.8269
_cell_length_c 3.8269
_cell_angle_alpha 60.00
_cell_angle_beta 60.00
_cell_angle_gamma 60.00
loop_
_space_group_symop_operation_xyz
'x,y,z'
loop_
_atom_site_label
_atom_site_fract_x
_atom_site_fract_y
_atom_site_fract_z
B1 0.5000 0.5000 0.5000
Be1 0.7500 0.7500 0.7500
Ga1 0.0000 0.0000 0.0000
Ni1 0.2500 0.2500 0.2500

# SrMgBiIr PBE-GGA relaxed
# * symmetry: No. 216
# * E above lowest polymorph: 0 meV per atom
data_SrMgBiIr
_chemical_formula_sum 'Sr1 Mg1 Bi1 Ir1'
_space_group_name_H-M_alt 'P 1'
_space_group_IT_number 1
_cell_length_a 5.0326
_cell_length_b 5.0326
_cell_length_c 5.0326
_cell_angle_alpha 60.00
_cell_angle_beta 60.00
_cell_angle_gamma 60.00
loop_
_space_group_symop_operation_xyz
'x,y,z'
loop_
_atom_site_label
_atom_site_fract_x
_atom_site_fract_y
_atom_site_fract_z
Bi1 0.2500 0.2500 0.2500
Ir1 0.0000 0.0000 0.0000
Mg1 0.7500 0.7500 0.7500
Sr1 0.5000 0.5000 0.5000

# BaCoNiS3 PBE-GGA relaxed
# * symmetry: No. 63
# * E above lowest polymorph: 0 meV per atom
data_BaCoNiS3
_chemical_formula_sum 'Ba2 Co2 Ni2 S6'
_space_group_name_H-M_alt 'P 1'
_space_group_IT_number 1
_cell_length_a 6.8553
_cell_length_b 6.8553
_cell_length_c 9.1980
_cell_angle_alpha 90.00
_cell_angle_beta 90.00
_cell_angle_gamma 148.80
loop_
_space_group_symop_operation_xyz
'x,y,z'
loop_
_atom_site_label
_atom_site_fract_x
_atom_site_fract_y
_atom_site_fract_z
Ba1 0.2475 0.7525 0.2500
Ba2 0.7525 0.2475 0.7500
Co1 0.0000 0.0000 0.0000
Co2 0.0000 0.0000 0.5000
Ni1 0.5300 0.4700 0.2500
Ni2 0.4700 0.5300 0.7500
S1 0.6130 0.3870 0.0403
S2 0.9416 0.0584 0.2500
S3 0.6130 0.3870 0.4597
S4 0.3870 0.6130 0.5403
S5 0.0584 0.9416 0.7500
S6 0.3870 0.6130 0.9597

# TaReSi PBE-GGA relaxed
# * DFT total energy: -10.370 eV per atom
# * symmetry: No. 189
data_TaReSi
_chemical_formula_sum 'Ta3 Re3 Si3'
_space_group_name_H-M_alt 'P 1'
_space_group_IT_number 1
_cell_length_a 6.8811
_cell_length_b 6.8811
_cell_length_c 3.2859
_cell_angle_alpha 90.00
_cell_angle_beta 90.00
_cell_angle_gamma 120.00
loop_
_space_group_symop_operation_xyz
'x,y,z'
loop_
_atom_site_label
_atom_site_fract_x
_atom_site_fract_y
_atom_site_fract_z
Re1 0.2609 0.0000 0.0000
Re2 0.0000 0.2609 0.0000
Re3 0.7391 0.7391 0.0000
Si1 0.6667 0.3333 0.0000
Si2 0.3333 0.6667 0.0000
Si3 0.0000 0.0000 0.5000
Ta1 0.5992 0.0000 0.5000
Ta2 0.4008 0.4008 0.5000
Ta3 0.0000 0.5992 0.5000

# ScReNiB PBE-GGA relaxed
# * symmetry: No. 216
# * E above lowest polymorph: 0 meV per atom
data_ScReNiB
_chemical_formula_sum 'Sc1 Re1 Ni1 B1'
_space_group_name_H-M_alt 'P 1'
_space_group_IT_number 1
_cell_length_a 4.1511
_cell_length_b 4.1511
_cell_length_c 4.1511
_cell_angle_alpha 60.00
_cell_angle_beta 60.00
_cell_angle_gamma 60.00
loop_
_space_group_symop_operation_xyz
'x,y,z'
loop_
_atom_site_label
_atom_site_fract_x
_atom_site_fract_y
_atom_site_fract_z
B1 0.0000 0.0000 0.0000
Ni1 0.5000 0.5000 0.5000
Re1 0.2500 0.2500 0.2500
Sc1 0.7500 0.7500 0.7500

# PmSbN2O PBE-GGA relaxed
# * DFT total energy: -7.031 eV per atom
# * symmetry: No. 26
data_PmSbN2O
_chemical_formula_sum 'Pm2 Sb2 N4 O2'
_space_group_name_H-M_alt 'P 1'
_space_group_IT_number 1
_cell_length_a 3.7031
_cell_length_b 6.4038
_cell_length_c 5.9262
_cell_angle_alpha 90.00
_cell_angle_beta 90.00
_cell_angle_gamma 90.00
loop_
_space_group_symop_operation_xyz
'x,y,z'
loop_
_atom_site_label
_atom_site_fract_x
_atom_site_fract_y
_atom_site_fract_z
N1 0.0000 0.1026 0.0770
N2 0.5000 0.7064 0.2839
N3 0.0000 0.8974 0.5770
N4 0.5000 0.2936 0.7839
O1 0.0000 0.4022 0.4699
O2 0.0000 0.5978 0.9699
Pm1 0.5000 0.3434 0.1932
Pm2 0.5000 0.6566 0.6932
Sb1 0.0000 0.8251 0.2266
Sb2 0.0000 0.1749 0.7266

# YBeGaCo PBE-GGA relaxed
# * symmetry: No. 216
# * E above lowest polymorph: 0 meV per atom
data_YBeGaCo
_chemical_formula_sum 'Y1 Be1 Ga1 Co1'
_space_group_name_H-M_alt 'P 1'
_space_group_IT_number 1
_cell_length_a 4.4077
_cell_length_b 4.4077
_cell_length_c 4.4077
_cell_angle_alpha 60.00
_cell_angle_beta 60.00
_cell_angle_gamma 60.00
loop_
_space_group_symop_operation_xyz
'x,y,z'
loop_
_atom_site_label
_atom_site_fract_x
_atom_site_fract_y
_atom_site_fract_z
Be1 0.2500 0.2500 0.2500
Co1 0.7500 0.7500 0.7500
Ga1 0.0000 0.0000 0.0000
Y1 0.5000 0.5000 0.5000

# Mg3Cd2W2 PBE-GGA relaxed
# * DFT total energy: -4.052 eV per atom
# * symmetry: No. 160
data_Mg3Cd2W2
_chemical_formula_sum 'Mg3 Cd2 W2'
_space_group_name_H-M_alt 'P 1'
_space_group_IT_number 1
_cell_length_a 7.4293
_cell_length_b 7.4293
_cell_length_c 7.4293
_cell_angle_alpha 36.99
_cell_angle_beta 36.99
_cell_angle_gamma 36.99
loop_
_space_group_symop_operation_xyz
'x,y,z'
loop_
_atom_site_label
_atom_site_fract_x
_atom_site_fract_y
_atom_site_fract_z
Cd1 0.2044 0.2044 0.2044
Cd2 0.7627 0.7627 0.7627
Mg1 0.3377 0.3377 0.3377
Mg2 0.6175 0.6175 0.6175
Mg3 0.9153 0.9153 0.9153
W1 0.0729 0.0729 0.0729
W2 0.4644 0.4644 0.4644

# YHoZnTe3 PBE-GGA relaxed
# * DFT total energy: -4.567 eV per atom
# * symmetry: No. 63
data_YHoZnTe3
_chemical_formula_sum 'Y2 Ho2 Zn2 Te6'
_space_group_name_H-M_alt 'P 1'
_space_group_IT_number 1
_cell_length_a 7.8534
_cell_length_b 7.8534
_cell_length_c 10.4971
_cell_angle_alpha 90.00
_cell_angle_beta 90.00
_cell_angle_gamma 149.60
loop_
_space_group_symop_operation_xyz
'x,y,z'
loop_
_atom_site_label
_atom_site_fract_x
_atom_site_fract_y
_atom_site_fract_z
Ho1 0.2741 0.7259 0.2500
Ho2 0.7259 0.2741 0.7500
Te1 0.8478 0.1522 0.0522
Te2 0.6177 0.3823 0.2500
Te3 0.8478 0.1522 0.4478
Te4 0.1522 0.8478 0.5522
Te5 0.3823 0.6177 0.7500
Te6 0.1522 0.8478 0.9478
Y1 0.5000 0.5000 0.0000
Y2 0.5000 0.5000 0.5000
Zn1 0.9776 0.0224 0.2500
Zn2 0.0224 0.9776 0.7500

# PuZnSi PBE-GGA relaxed
# * DFT total energy: -7.131 eV per atom
# * symmetry: No. 216
data_PuZnSi
_chemical_formula_sum 'Pu1 Zn1 Si1'
_space_group_name_H-M_alt 'P 1'
_space_group_IT_number 1
_cell_length_a 4.5006
_cell_length_b 4.5006
_cell_length_c 4.5006
_cell_angle_alpha 60.00
_cell_angle_beta 60.00
_cell_angle_gamma 60.00
loop_
_space_group_symop_operation_xyz
'x,y,z'
loop_
_atom_site_label
_atom_site_fract_x
_atom_site_fract_y
_atom_site_fract_z
Pu1 0.2500 0.2500 0.2500
Si1 0.0000 0.0000 0.0000
Zn1 0.7500 0.7500 0.7500

# TaCdTe PBE-GGA relaxed
# * symmetry: No. 216
# * E above lowest polymorph: 0 meV per atom
data_TaCdTe
_chemical_formula_sum 'Ta1 Cd1 Te1'
_space_group_name_H-M_alt 'P 1'
_space_group_IT_number 1
_cell_length_a 4.7278
_cell_length_b 4.7278
_cell_length_c 4.7278
_cell_angle_alpha 60.00
_cell_angle_beta 60.00
_cell_angle_gamma 60.00
loop_
_space_group_symop_operation_xyz
'x,y,z'
loop_
_atom_site_label
_atom_site_fract_x
_atom_site_fract_y
_atom_site_fract_z
Cd1 0.2500 0.2500 0.2500
Ta1 0.0000 0.0000 0.0000
Te1 0.7500 0.7500 0.7500

# Zr4FeSnN2 PBE-GGA relaxed
# * symmetry: No. 187
# * E above lowest polymorph: 0 meV per atom
data_Zr4FeSnN2
_chemical_formula_sum 'Zr4 Fe1 Sn1 N2'
_space_group_name_H-M_alt 'P 1'
_space_group_IT_number 1
_cell_length_a 3.2517
_cell_length_b 3.2517
_cell_length_c 14.0507
_cell_angle_alpha 90.00
_cell_angle_beta 90.00
_cell_angle_gamma 120.00
loop_
_space_group_symop_operation_xyz
'x,y,z'
loop_
_atom_site_label
_atom_site_fract_x
_atom_site_fract_y
_atom_site_fract_z
Fe1 0.0000 0.0000 0.0000
N1 0.3333 0.6667 0.2331
N2 0.3333 0.6667 0.7669
Sn1 0.6667 0.3333 0.5000
Zr1 0.6667 0.3333 0.1383
Zr2 0.0000 0.0000 0.3266
Zr3 0.0000 0.0000 0.6734
Zr4 0.6667 0.3333 0.8617

# DyHoInC PBE-GGA relaxed
# * DFT total energy: -5.678 eV per atom
# * symmetry: No. 164
data_DyHoInC
_chemical_formula_sum 'Dy2 Ho2 In2 C2'
_space_group_name_H-M_alt 'P 1'
_space_group_IT_number 1
_cell_length_a 3.5872
_cell_length_b 3.5872
_cell_length_c 16.3450
_cell_angle_alpha 90.00
_cell_angle_beta 90.00
_cell_angle_gamma 120.00
loop_
_space_group_symop_operation_xyz
'x,y,z'
loop_
_atom_site_label
_atom_site_fract_x
_atom_site_fract_y
_atom_site_fract_z
C1 0.0000 0.0000 0.0000
C2 0.0000 0.0000 0.5000
Dy1 0.3333 0.6667 0.0831
Dy2 0.6667 0.3333 0.9169
Ho1 0.3333 0.6667 0.4177
Ho2 0.6667 0.3333 0.5823
In1 0.6667 0.3333 0.2508
In2 0.3333 0.6667 0.7492

# Gd3In3Ag2Ir PBE-GGA relaxed
# * DFT total energy: -4.573 eV per atom
# * symmetry: No. 189
data_Gd3In3Ag2Ir
_chemical_formula_sum 'Gd3 In3 Ag2 Ir1'
_space_group_name_H-M_alt 'P 1'
_space_group_IT_number 1
_cell_length_a 7.7417
_cell_length_b 7.7417
_cell_length_c 4.0401
_cell_angle_alpha 90.00
_cell_angle_beta 90.00
_cell_angle_gamma 120.00
loop_
_space_group_symop_operation_xyz
'x,y,z'
loop_
_atom_site_label
_atom_site_fract_x
_atom_site_fract_y
_atom_site_fract_z
Ag1 0.6667 0.3333 0.0000
Ag2 0.3333 0.6667 0.0000
Gd1 0.3932 0.0000 0.5000
Gd2 0.0000 0.3932 0.5000
Gd3 0.6068 0.6068 0.5000
In1 0.7462 0.0000 0.0000
In2 0.2538 0.2538 0.0000
In3 0.0000 0.7462 0.0000
Ir1 0.0000 0.0000 0.5000

# LiGeOs2 PBE-GGA relaxed
# * DFT total energy: -7.050 eV per atom
# * symmetry: No. 216
data_LiGeOs2
_chemical_formula_sum 'Li1 Ge1 Os2'
_space_group_name_H-M_alt 'P 1'
_space_group_IT_number 1
_cell_length_a 4.2731
_cell_length_b 4.2731
_cell_length_c 4.2731
_cell_angle_alpha 60.00
_cell_angle_beta 60.00
_cell_angle_gamma 60.00
loop_
_space_group_symop_operation_xyz
'x,y,z'
loop_
_atom_site_label
_atom_site_fract_x
_atom_site_fract_y
_atom_site_fract_z
Ge1 0.5000 0.5000 0.5000
Li1 0.2500 0.2500 0.2500
Os1 0.0000 0.0000 0.0000
Os2 0.7500 0.7500 0.7500

# TaBeCuAs PBE-GGA relaxed
# * symmetry: No. 216
# * E above lowest polymorph: 0 meV per atom
data_TaBeCuAs
_chemical_formula_sum 'Ta1 Be1 Cu1 As1'
_space_group_name_H-M_alt 'P 1'
_space_group_IT_number 1
_cell_length_a 4.3095
_cell_length_b 4.3095
_cell_length_c 4.3095
_cell_angle_alpha 60.00
_cell_angle_beta 60.00
_cell_angle_gamma 60.00
loop_
_space_group_symop_operation_xyz
'x,y,z'
loop_
_atom_site_label
_atom_site_fract_x
_atom_site_fract_y
_atom_site_fract_z
As1 0.0000 0.0000 0.0000
Be1 0.5000 0.5000 0.5000
Cu1 0.7500 0.7500 0.7500
Ta1 0.2500 0.2500 0.2500

# Hf3PdC PBE-GGA relaxed
# * DFT total energy: -9.567 eV per atom
# * symmetry: No. 63
data_Hf3PdC
_chemical_formula_sum 'Hf6 Pd2 C2'
_space_group_name_H-M_alt 'P 1'
_space_group_IT_number 1
_cell_length_a 6.0610
_cell_length_b 6.0610
_cell_length_c 8.8896
_cell_angle_alpha 90.00
_cell_angle_beta 90.00
_cell_angle_gamma 148.37
loop_
_space_group_symop_operation_xyz
'x,y,z'
loop_
_atom_site_label
_atom_site_fract_x
_atom_site_fract_y
_atom_site_fract_z
C1 0.0000 0.0000 0.0000
C2 0.0000 0.0000 0.5000
Hf1 0.3732 0.6268 0.0577
Hf2 0.0547 0.9453 0.2500
Hf3 0.3732 0.6268 0.4423
Hf4 0.6268 0.3732 0.5577
Hf5 0.9453 0.0547 0.7500
Hf6 0.6268 0.3732 0.9423
Pd1 0.7479 0.2521 0.2500
Pd2 0.2521 0.7479 0.7500

# LaFeB4 PBE-GGA relaxed
# * symmetry: No. 191
# * E above lowest polymorph: 0 meV per atom
data_LaFeB4
_chemical_formula_sum 'La1 Fe1 B4'
_space_group_name_H-M_alt 'P 1'
_space_group_IT_number 1
_cell_length_a 3.1300
_cell_length_b 3.1300
_cell_length_c 7.1003
_cell_angle_alpha 90.00
_cell_angle_beta 90.00
_cell_angle_gamma 120.00
loop_
_space_group_symop_operation_xyz
'x,y,z'
loop_
_atom_site_label
_atom_site_fract_x
_atom_site_fract_y
_atom_site_fract_z
B1 0.6667 0.3333 0.3141
B2 0.3333 0.6667 0.3141
B3 0.6667 0.3333 0.6859
B4 0.3333 0.6667 0.6859
Fe1 0.0000 0.0000 0.5000
La1 0.0000 0.0000 0.0000

# HoI2Cl PBE-GGA relaxed
# * DFT total energy: -4.072 eV per atom
# * symmetry: No. 12
data_HoI2Cl
_chemical_formula_sum 'Ho2 I4 Cl2'
_space_group_name_H-M_alt 'P 1'
_space_group_IT_number 1
_cell_length_a 7.3133
_cell_length_b 7.3133
_cell_length_c 7.7729
_cell_angle_alpha 99.63
_cell_angle_beta 99.63
_cell_angle_gamma 117.05
loop_
_space_group_symop_operation_xyz
'x,y,z'
loop_
_atom_site_label
_atom_site_fract_x
_atom_site_fract_y
_atom_site_fract_z
Cl1 0.1842 0.1842 0.1987
Cl2 0.8158 0.8158 0.8013
Ho1 0.8393 0.1607 0.0000
Ho2 0.1607 0.8393 0.0000
I1 0.9338 0.5829 0.2417
I2 0.5829 0.9338 0.2417
I3 0.4171 0.0662 0.7583
I4 0.0662 0.4171 0.7583

Volume readings, ordered: 15.60, 9.91, 22.53, 18.66, 14.97, 12.64, 14.05, 15.14, 19.00, 27.30, 21.49, 24.91, 16.08, 22.77, 23.30, 13.79, 14.15, 17.13, 10.04, 43.85 A^3/atom